PBE BaThIn2I8, relaxed; space group = P2/m, No. 10; ΔE_f (raw) = -1083 meV/atom; DOS at the Fermi energy = 0.0 states/eV per cell
1.0
-2.887 -2.645 -7.144
7.278 0.127 -2.730
1.285 -9.456 2.984
Ba Th In I
1 1 2 8
Direct
0.000 0.000 0.500
0.000 0.000 0.000
0.500 0.500 0.745
0.500 0.500 0.255
0.139 0.765 0.223
0.682 0.786 0.000
0.860 0.235 0.222
0.861 0.235 0.777
0.318 0.214 0.000
0.140 0.765 0.778
0.656 0.736 0.500
0.344 0.264 0.500

PBE Ba2TlInI6, relaxed; space group = R3, No. 146; ΔE_f (raw) = -1274 meV/atom; DOS at the Fermi energy = 0.0 states/eV per cell
1.0
8.884 0.000 0.002
4.442 7.693 0.001
4.443 2.565 7.791
Ba Tl In I
2 1 1 6
Direct
0.515 0.515 0.454
0.015 0.015 0.956
0.816 0.816 0.553
0.317 0.317 0.050
0.623 0.220 0.249
0.220 0.908 0.249
0.908 0.623 0.249
0.407 0.717 0.752
0.717 0.124 0.752
0.124 0.407 0.752

PBE BaTmInI6, relaxed; space group = P-31c, No. 163; ΔE_f (raw) = -1290 meV/atom; DOS at the Fermi energy = 0.0 states/eV per cell
1.0
-5.694 2.083 5.811
-2.141 -5.056 -6.354
3.880 -11.683 7.990
Ba Tm In I
2 2 2 12
Direct
0.333 0.667 0.250
0.667 0.333 0.750
0.667 0.333 0.250
0.333 0.667 0.750
0.000 0.000 0.000
0.000 0.000 0.500
0.665 0.624 0.129
0.958 0.335 0.129
0.335 0.958 0.629
0.042 0.665 0.871
0.376 0.335 0.371
0.958 0.624 0.371
0.624 0.958 0.871
0.665 0.042 0.371
0.042 0.376 0.629
0.376 0.042 0.129
0.624 0.665 0.629
0.335 0.376 0.871

PBE BaUIn2I8, relaxed; space group = P2/m, No. 10; ΔE_f (raw) = -913 meV/atom; DOS at the Fermi energy = 11.4 states/eV per cell
1.0
-7.399 -1.884 2.618
-0.979 -4.262 -6.362
3.677 -7.886 4.713
Ba U In I
1 1 2 8
Direct
0.000 0.000 0.500
0.000 0.000 0.000
0.500 0.500 0.749
0.500 0.500 0.251
0.140 0.765 0.219
0.686 0.791 0.000
0.860 0.235 0.219
0.860 0.235 0.781
0.314 0.209 0.000
0.140 0.765 0.781
0.653 0.735 0.500
0.347 0.265 0.500

PBE BaZrIn2I8, relaxed; space group = P-1, No. 2; ΔE_f (raw) = -939 meV/atom
1.0
8.102 -0.031 -0.006
-0.016 7.555 -0.006
0.004 0.015 9.692
Ba Zr In I
1 1 2 8
Direct
0.000 0.000 0.500
0.000 0.000 0.000
0.500 0.499 0.756
0.500 0.501 0.244
0.132 0.763 0.211
0.700 0.805 0.000
0.867 0.236 0.210
0.868 0.237 0.789
0.300 0.195 0.000
0.133 0.764 0.790
0.659 0.728 0.500
0.341 0.272 0.500

PBE Ba3IrI, relaxed; space group = Pm-3m, No. 221; energy relative to the lowest polymorph listed for this composition = 0.1125 eV/atom; ΔE_f (raw) = -458 meV/atom; DOS at the Fermi energy = 6.9 states/eV per cell
1.0
-1.193 -1.477 -5.853
2.204 -5.660 0.980
-5.619 -1.907 1.626
I Ir Ba
1 1 3
Direct
0.500 0.500 0.500
0.000 0.000 0.000
0.000 0.500 0.000
0.000 0.000 0.500
0.500 0.000 0.000

PBE BaIrI, relaxed; space group = F-43m, No. 216; energy relative to the lowest polymorph listed for this composition = 0.8690 eV/atom; ΔE_f (raw) = 77 meV/atom; DOS at the Fermi energy = 0.6 states/eV per cell
1.0
0.089 -2.936 4.117
-4.189 -0.597 2.771
-2.425 -4.438 -0.006
I Ir Ba
1 1 1
Direct
0.250 0.250 0.250
0.500 0.500 0.500
0.750 0.750 0.750

PBE BaIrI, relaxed; space group = Cm, No. 8; energy relative to the lowest polymorph listed for this composition = 0.1477 eV/atom; ΔE_f (raw) = -644 meV/atom; DOS at the Fermi energy = 3.1 states/eV per cell
1.0
-3.313 2.247 -1.707
-2.608 -3.434 0.536
-5.908 3.354 10.340
I Ir Ba
2 2 2
Direct
0.884 0.327 0.226
0.236 0.679 0.520
0.080 0.004 0.873
0.302 0.504 0.873
0.662 0.107 0.665
0.454 0.899 0.082

PBE BaIrI, relaxed; space group = P-1, No. 2; energy relative to the lowest polymorph listed for this composition = 0.0000 eV/atom; ΔE_f (raw) = -792 meV/atom; DOS at the Fermi energy = 3.4 states/eV per cell
1.0
-3.225 -2.939 -0.383
0.613 -3.523 -2.529
4.773 -6.775 10.454
I Ir Ba
2 2 2
Direct
0.066 0.312 0.225
0.407 0.641 0.521
0.415 0.655 0.874
0.058 0.299 0.873
0.740 0.978 0.689
0.733 0.976 0.057

PBE Ba4IrI2, relaxed; space group = C2/m, No. 12; energy relative to the lowest polymorph listed for this composition = 0.0000 eV/atom; ΔE_f (raw) = -850 meV/atom; DOS at the Fermi energy = 3.8 states/eV per cell
1.0
-2.230 -3.196 -2.545
6.593 -4.146 -0.571
-4.097 -0.826 8.884
I Ir Ba
2 1 4
Direct
0.255 0.253 0.511
0.745 0.747 0.489
0.000 0.000 0.000
0.104 0.789 0.208
0.896 0.211 0.792
0.403 0.746 0.807
0.597 0.254 0.193

PBE Ba12Ir5I3, relaxed; space group = Ia-3d, No. 230; ΔE_f (raw) = -297 meV/atom; DOS at the Fermi energy = 77.6 states/eV per cell
1.0
-11.239 7.188 10.456
-4.644 -15.993 -3.156
15.327 0.110 7.239
I Ir Ba
12 20 48
Direct
0.750 0.375 0.125
0.875 0.750 0.125
0.375 0.750 0.625
0.250 0.125 0.375
0.875 0.125 0.250
0.375 0.625 0.250
0.625 0.375 0.750
0.125 0.875 0.750
0.750 0.875 0.625
0.625 0.250 0.375
0.125 0.250 0.875
0.250 0.625 0.875
0.125 0.375 0.250
0.000 0.500 0.000
0.000 0.000 0.000
0.375 0.250 0.125
0.500 0.000 0.500
0.500 0.500 0.000
0.125 0.750 0.375
0.750 0.125 0.875
0.750 0.625 0.375
0.375 0.125 0.750
0.625 0.875 0.250
0.500 0.500 0.500
0.500 0.000 0.000
0.000 0.000 0.500
0.250 0.375 0.625
0.250 0.875 0.125
0.000 0.500 0.500
0.875 0.250 0.625
0.625 0.750 0.875
0.875 0.625 0.750
0.699 0.110 0.018
0.319 0.518 0.407
0.982 0.390 0.301
0.518 0.199 0.110
0.588 0.699 0.681
0.982 0.593 0.181
0.319 0.801 0.412
0.093 0.912 0.110
0.593 0.982 0.681
0.699 0.588 0.181
0.801 0.482 0.390
0.819 0.907 0.018
0.110 0.699 0.518
0.390 0.407 0.088
0.088 0.907 0.390
0.412 0.110 0.593
0.088 0.181 0.199
0.482 0.681 0.093
0.819 0.912 0.301
0.110 0.412 0.093
0.390 0.982 0.801
0.593 0.610 0.412
0.907 0.819 0.518
0.801 0.319 0.912
0.407 0.390 0.588
0.093 0.181 0.482
0.199 0.681 0.088
0.181 0.088 0.699
0.610 0.018 0.199
0.890 0.588 0.907
0.518 0.319 0.907
0.588 0.890 0.407
0.912 0.819 0.801
0.912 0.093 0.610
0.890 0.301 0.482
0.181 0.093 0.982
0.610 0.593 0.912
0.407 0.018 0.319
0.301 0.412 0.819
0.199 0.518 0.610
0.907 0.088 0.890
0.681 0.199 0.588
0.482 0.801 0.890
0.018 0.407 0.819
0.412 0.301 0.319
0.018 0.610 0.699
0.681 0.482 0.593
0.301 0.890 0.982

PBE Ba5IrI, relaxed; space group = P1, No. 1; ΔE_f (raw) = -450 meV/atom; DOS at the Fermi energy = 13.5 states/eV per cell
1.0
-3.065 7.195 -1.558
-7.153 -3.709 -1.941
0.192 2.729 11.967
Ba Ir I
10 2 2
Direct
0.719 0.281 0.195
0.293 0.683 0.793
0.728 0.832 0.377
0.282 0.883 0.195
0.278 0.336 0.992
0.274 0.516 0.377
0.721 0.623 0.993
0.728 0.425 0.600
0.704 0.075 0.791
0.266 0.141 0.599
0.498 0.375 0.784
0.500 0.583 0.198
0.999 0.978 0.990
0.999 0.785 0.607

PBE Ba3IrI3, relaxed; space group = C2/m, No. 12; ΔE_f (raw) = -1085 meV/atom
1.0
9.249 -0.164 -1.529
-4.357 8.159 -1.529
-0.664 -1.086 9.485
Ba Ir I
6 2 6
Direct
0.922 0.922 0.254
0.804 0.530 0.773
0.530 0.804 0.773
0.196 0.470 0.227
0.470 0.196 0.227
0.078 0.078 0.746
0.855 0.855 0.932
0.145 0.145 0.068
0.664 0.664 0.435
0.187 0.813 0.500
0.813 0.187 0.500
0.272 0.728 0.000
0.728 0.272 0.000
0.336 0.336 0.565

PBE BaIrI, relaxed; space group = P2_1/m, No. 11; energy relative to the lowest polymorph listed for this composition = 0.1463 eV/atom; ΔE_f (raw) = -645 meV/atom; DOS at the Fermi energy = 2.8 states/eV per cell
1.0
4.344 0.000 0.010
0.000 4.360 0.000
-1.129 -0.001 11.968
I Ir Ba
2 2 2
Direct
0.800 0.354 0.226
0.374 0.854 0.521
0.476 0.353 0.871
0.697 0.853 0.876
0.910 0.354 0.665
0.264 0.854 0.082

PBE BaIrI, relaxed; space group = Cmcm, No. 63; energy relative to the lowest polymorph listed for this composition = 0.7369 eV/atom; ΔE_f (raw) = -55 meV/atom; DOS at the Fermi energy = 3.0 states/eV per cell
1.0
10.939 0.000 0.000
0.000 7.374 0.000
0.000 0.000 4.279
I Ir Ba
4 4 4
Direct
0.000 0.000 0.000
0.500 0.500 0.500
0.500 0.000 0.500
0.000 0.500 0.000
0.428 0.250 0.000
0.072 0.750 0.500
0.572 0.750 0.000
0.928 0.250 0.500
0.715 0.250 0.000
0.785 0.750 0.500
0.285 0.750 0.000
0.215 0.250 0.500

PBE BaIrI2, relaxed; space group = Fm-3m, No. 225; energy relative to the lowest polymorph listed for this composition = 0.2666 eV/atom; ΔE_f (raw) = 102 meV/atom; DOS at the Fermi energy = 7.4 states/eV per cell
1.0
0.000 3.986 3.986
3.986 0.000 3.986
3.986 3.986 0.000
I Ir Ba
2 1 1
Direct
0.250 0.250 0.250
0.750 0.750 0.750
0.500 0.500 0.500
0.000 0.000 0.000

PBE BaIr2I, relaxed; space group = Fm-3m, No. 225; energy relative to the lowest polymorph listed for this composition = 0.7375 eV/atom; ΔE_f (raw) = 998 meV/atom; DOS at the Fermi energy = 3.3 states/eV per cell
1.0
1.372 2.113 4.419
3.075 4.052 0.035
-1.823 4.565 1.311
I Ir Ba
1 2 1
Direct
0.000 0.000 0.000
0.250 0.250 0.250
0.750 0.750 0.750
0.500 0.500 0.500

PBE BaIrI, relaxed; space group = P2_1/m, No. 11; energy relative to the lowest polymorph listed for this composition = 0.0528 eV/atom; ΔE_f (raw) = -739 meV/atom; DOS at the Fermi energy = 1.6 states/eV per cell
1.0
-4.226 0.936 1.939
1.724 -10.528 3.070
1.895 2.966 2.698
I Ir Ba
2 2 2
Direct
0.939 0.067 0.291
0.586 0.356 0.080
0.739 0.664 0.388
0.786 0.759 0.983
0.166 0.518 0.742
0.359 0.905 0.629

PBE Ba3IrI2, relaxed; space group = C2/c, No. 15; energy relative to the lowest polymorph listed for this composition = 0.0194 eV/atom; ΔE_f (raw) = -972 meV/atom; DOS at the Fermi energy = 7.3 states/eV per cell
1.0
-3.631 1.587 5.489
4.526 -6.355 4.831
6.173 6.263 -1.902
Ba Ir I
6 2 4
Direct
0.500 0.250 0.000
0.500 0.750 0.000
0.126 0.063 0.252
0.874 0.437 0.748
0.126 0.563 0.252
0.874 0.937 0.748
0.999 0.750 0.000
0.001 0.250 0.000
0.685 0.592 0.369
0.685 0.092 0.369
0.315 0.908 0.631
0.315 0.408 0.631